1.
Density functional theory data (PBE-GGA) for a geometry-optimized Pm2FeAg structure.

Structure (POSCAR):
```
Pm2FeAg
1.0
3.516 0.000 0.000
0.000 3.516 0.000
0.000 0.000 7.573
Pm Fe Ag
2 1 1
Cartesian
0.000 0.000 1.691
0.000 0.000 5.882
1.758 1.758 0.000
1.758 1.758 3.787
```

**SG**: No. 123
**Formation energy**: -21 meV/atom
**Polymorph energy (0 for the lowest one)**: 0.00 eV/f.u.
**Total DFT energy (no corrections)**: -5.22 eV per atom

2.
Density functional theory data (PBE-GGA) for a geometry-optimized Pm4FeAg2 structure.

Structure (POSCAR):
```
Pm4FeAg2
1.0
5.086 0.000 0.000
0.000 5.086 0.000
0.000 0.000 15.513
Pm Fe Ag
8 2 4
Cartesian
0.000 0.000 2.766
0.000 0.000 12.747
0.000 2.543 0.000
0.000 2.543 7.756
2.543 0.000 0.000
2.543 0.000 7.756
2.543 2.543 4.990
2.543 2.543 10.522
0.000 0.000 0.000
2.543 2.543 7.756
0.000 0.000 5.772
0.000 0.000 9.741
2.543 2.543 1.985
2.543 2.543 13.528
```

**SG**: No. 139
**Formation energy**: 61 meV/atom
**Total DFT energy (no corrections)**: -4.68 eV per atom

3.
Density functional theory data (PBE-GGA) for a geometry-optimized Pm6Fe2Ag structure.

Structure (POSCAR):
```
Pm6Fe2Ag
1.0
-4.841 4.967 5.046
4.841 -4.967 5.046
4.841 4.967 -5.046
Pm Fe Ag
12 4 2
Cartesian
4.841 2.862 -2.862
2.831 1.839 0.000
6.851 1.839 0.000
2.001 4.967 -1.872
2.840 0.000 3.175
0.000 2.106 2.184
4.841 2.862 2.862
2.001 4.967 1.872
2.840 0.000 6.918
-2.010 3.129 5.046
2.010 3.129 5.046
0.000 2.106 7.908
4.841 0.000 1.099
0.000 3.861 0.000
0.000 6.074 0.000
0.000 4.967 3.948
0.000 0.000 0.000
0.000 0.000 5.046
```

**SG**: No. 71
**Formation energy**: -22 meV/atom
**Total DFT energy (no corrections)**: -5.39 eV per atom

4.
Density functional theory data (PBE-GGA) for a geometry-optimized PmSmFeAg structure.

Structure (POSCAR):
```
PmSmFeAg
1.0
7.209 0.000 0.000
0.000 7.209 0.000
0.000 0.000 7.209
Pm Sm Fe Ag
4 4 4 4
Cartesian
0.000 0.000 0.000
0.000 3.605 3.605
3.605 0.000 3.605
3.605 3.605 0.000
0.000 0.000 3.605
0.000 3.605 0.000
3.605 0.000 0.000
3.605 3.605 3.605
1.802 1.802 5.407
1.802 5.407 1.802
5.407 1.802 1.802
5.407 5.407 5.407
1.802 1.802 1.802
1.802 5.407 5.407
5.407 1.802 5.407
5.407 5.407 1.802
```

**SG**: No. 216
**Formation energy**: 49 meV/atom
**Total DFT energy (no corrections)**: -5.15 eV per atom

Question: Which value of formation energy does entry 2 give?
Answer: 61 meV/atom